(1)
Tb2Pm5Bi4 | Alexandria | PBE | relaxed; total energy = -4.66 eV per atom; symmetry = C2/m; DOS(E_F) = 11.888 states/eV/cell; crystal system = monoclinic
1.0
19.0292 -1.7365 0.0000
19.0292 1.7365 0.0000
-0.8266 0.0000 5.5499
Tb Pm Bi
2 5 4
Direct
0.0852 0.0852 0.0846
0.9148 0.9148 0.9154
0.1354 0.1354 0.6347
0.2034 0.2034 0.2024
0.5000 0.5000 0.0000
0.7966 0.7966 0.7976
0.8646 0.8646 0.3653
0.0471 0.0471 0.5467
0.2899 0.2899 0.2908
0.7101 0.7101 0.7092
0.9529 0.9529 0.4533

(2)
TbPm5Bi6 | Alexandria | PBE | relaxed; total energy = -5.24 eV per atom; symmetry = C2/m; DOS(E_F) = 2.254 states/eV/cell; crystal system = monoclinic
1.0
3.9531 -6.8486 0.0000
3.9531 6.8486 0.0000
-2.6329 0.0000 7.4526
Tb Pm Bi
1 5 6
Direct
0.0000 0.0000 0.0000
0.1681 0.8319 0.5000
0.3339 0.6661 0.0000
0.5000 0.5000 0.5000
0.6661 0.3339 0.0000
0.8319 0.1681 0.5000
0.0823 0.4127 0.2476
0.2468 0.2468 0.7508
0.4127 0.0823 0.2476
0.5873 0.9177 0.7524
0.7532 0.7532 0.2492
0.9177 0.5873 0.7524

(3)
Tb5PmBi4 | Alexandria | PBE | relaxed; total energy = -4.84 eV per atom; symmetry = C2/m; DOS(E_F) = 6.579 states/eV/cell; crystal system = monoclinic
1.0
9.6019 -2.2315 0.0000
9.6019 2.2315 0.0000
-2.5799 0.0000 8.1428
Tb Pm Bi
5 1 4
Direct
0.0000 0.0000 0.0000
0.3151 0.3151 0.1540
0.3408 0.3408 0.6944
0.6592 0.6592 0.3056
0.6849 0.6849 0.8460
0.0000 0.0000 0.5000
0.1716 0.1716 0.5774
0.4845 0.4845 0.2316
0.5155 0.5155 0.7684
0.8284 0.8284 0.4226

(4)
TbPm2Bi | Alexandria | PBE | relaxed; total energy = -4.92 eV per atom; symmetry = Cmcm; DOS(E_F) = 8.364 states/eV/cell; crystal system = orthorhombic
1.0
2.3341 -11.7062 0.0000
2.3341 11.7062 0.0000
0.0000 0.0000 4.6617
Tb Pm Bi
2 4 2
Direct
0.1926 0.8074 0.7500
0.8074 0.1926 0.2500
0.0652 0.9348 0.2500
0.4394 0.5606 0.2500
0.5606 0.4394 0.7500
0.9348 0.0652 0.7500
0.3279 0.6721 0.7500
0.6721 0.3279 0.2500